No. 1
# PuMn

A relaxed structure of PuMn (PBE, the Alexandria database).

```
4
Lattice="4.4334 0.0000 1.3266 2.0183 3.9474 1.3266 1.0838 0.6631 4.4498" Properties=species:S:1:pos:R:3 pbc="T T T"
Pu 4.1678 2.5500 2.2144
Pu 3.3677 2.0605 4.8885
Mn 6.0516 3.7026 3.9905
Mn 1.4839 0.9079 3.1125
```

Output
**SG**: Fd-3m
**Crystal system**: cubic

No. 2
# PuMn5

A relaxed structure of PuMn5 (PBE, the Alexandria database).

```
6
Lattice="3.8027 0.0000 0.0000 0.0000 3.8689 0.0000 0.0000 -1.9344 5.2897" Properties=species:S:1:pos:R:3 pbc="T T T"
Mn 1.9013 1.9344 3.3675
Mn 0.0000 1.9344 2.0111
Mn 1.9013 1.9344 0.0000
Mn 0.0000 0.0000 3.2786
Mn 1.9013 0.0000 1.9222
Pu 0.0000 0.0000 0.0000
```

Output
**SG**: Cmmm
**Crystal system**: orthorhombic

No. 3
# PuMn3

A relaxed structure of PuMn3 (PBE, the Alexandria database).

```
8
Lattice="-4.7734 1.6233 2.3272 -0.0706 -3.1613 -4.5648 -0.0090 -3.7604 2.6044" Properties=species:S:1:pos:R:3 pbc="T T T"
Pu -1.6450 -4.3867 -0.3141
Pu -3.2080 -0.9117 0.6810
Mn -0.8080 -1.7105 -0.4641
Mn -3.2695 -2.4921 -1.6011
Mn -0.8439 -3.3170 -2.7838
Mn -4.0450 -3.5879 0.8310
Mn -1.5835 -2.8063 1.9680
Mn -4.0092 -1.9814 3.1506
```

Output
**SG**: P6_3/mmc
**Crystal system**: hexagonal

No. 4
# PuMn3

A relaxed structure of PuMn3 (PBE, the Alexandria database).

```
4
Lattice="-0.0224 -4.0807 -1.5844 3.4545 -1.5007 -2.2310 2.5927 -3.0500 1.7715" Properties=species:S:1:pos:R:3 pbc="T T T"
Mn 0.0000 0.0000 0.0000
Mn 4.5186 -6.4736 -1.5329
Mn 1.5062 -2.1579 -0.5110
Pu 3.0124 -4.3157 -1.0219
```

Output
**SG**: Fm-3m
**Crystal system**: cubic

No. 5
# Pu3Mn

A relaxed structure of Pu3Mn (PBE, the Alexandria database).

```
4
Lattice="2.9551 0.0000 0.0000 0.0000 5.1878 0.0000 -1.4775 -2.5939 5.1459" Properties=species:S:1:pos:R:3 pbc="T T T"
Mn 0.0000 0.3592 0.0000
Pu 0.0000 1.5081 2.9624
Pu 1.4775 2.6770 0.0000
Pu 1.4775 -1.0858 2.1835
```

Output
**SG**: Imm2
**Offset from the most stable computed form**: 0.48 eV per formula unit
**Crystal system**: orthorhombic

No. 6
# PuMn4

A relaxed structure of PuMn4 (PBE, the Alexandria database).

```
5
Lattice="4.5451 0.0000 0.0000 0.0000 4.5451 0.0000 0.0000 0.0000 4.5451" Properties=species:S:1:pos:R:3 pbc="T T T"
Mn 0.0000 0.0000 0.0000
Mn 2.2725 0.0000 2.2725
Mn 0.0000 2.2725 2.2725
Mn 2.2725 2.2725 0.0000
Pu 2.2725 2.2725 2.2725
```

Output
**SG**: Pm-3m
**Crystal system**: cubic

No. 7
# Pu3Mn4

A relaxed structure of Pu3Mn4 (PBE, the Alexandria database).

```
14
Lattice="-4.8400 -4.7821 -0.1950 3.6754 -0.2569 -5.7235 4.0583 -1.0962 5.3537" Properties=species:S:1:pos:R:3 pbc="T T T"
Pu 1.7878 -0.9681 -0.8323
Pu 3.2825 -4.1406 0.2699
Pu -0.7797 -4.9337 1.7445
Pu 2.5132 -1.5573 -4.3876
Pu 0.1890 -4.1582 -1.7158
Pu 1.6881 -2.6475 3.2267
Mn 0.3088 -1.6391 -2.9234
Mn 0.7701 -3.0203 0.7713
Mn 1.2820 -0.3463 1.6912
Mn -1.8873 -3.5206 -0.2015
Mn 3.3111 -0.8943 4.3680
Mn 4.3996 -1.8061 -0.2889
Mn -2.1112 -4.0301 -3.0209
Mn 2.6078 -3.1487 -2.0904
```

Output
**SG**: I-43d
**Crystal system**: cubic

No. 8
# Pu4Mn

A relaxed structure of Pu4Mn (PBE, the Alexandria database).

```
10
Lattice="0.0000 4.5575 4.5575 4.5575 0.0000 4.5575 4.5575 4.5575 0.0000" Properties=species:S:1:pos:R:3 pbc="T T T"
Pu 7.7232 7.7232 7.7232
Pu 5.9494 7.7232 5.9494
Pu 5.9494 5.9494 7.7232
Pu 5.4444 3.6707 5.4444
Pu 3.6707 3.6707 3.6707
Pu 7.7232 5.9494 5.9494
Pu 5.4444 5.4444 3.6707
Pu 3.6707 5.4444 5.4444
Mn 2.2788 2.2788 2.2788
Mn 0.0000 0.0000 0.0000
```

Output
**SG**: Fd-3m
**Offset from the most stable computed form**: 3.76 eV per formula unit
**Crystal system**: cubic

Number 1: total energy -11.672 eV per atom, calculated formation energy 0.0790 eV/atom. Number 2: total energy -9.889 eV per atom, calculated formation energy 0.1412 eV/atom. Number 3: total energy -10.338 eV per atom, calculated formation energy 0.1225 eV/atom. Number 4: total energy -10.187 eV per atom, calculated formation energy 0.2734 eV/atom. Number 5: total energy -12.748 eV per atom, calculated formation energy 0.2930 eV/atom. Number 6: total energy -9.160 eV per atom, calculated formation energy 1.0418 eV/atom. Number 7: total energy -11.123 eV per atom, calculated formation energy 0.2588 eV/atom. Number 8: total energy -12.186 eV per atom, calculated formation energy 1.1130 eV/atom.